MnOs2Au PBE-GGA relaxed; energy relative to the elements = 0.40 eV per atom; energy above the lowest structure with this stoichiometry = 176 meV per atom; calculated total energy = -8.3244 eV per atom; total magnetic moment = 2.386 Bohr magnetons per cell; space-group type = No. 123
1.0
3.871 0.000 0.000
0.000 3.871 0.000
0.000 0.000 3.922
Mn Os Au
1 2 1
direct
0.000 0.000 0.000 Mn
0.000 0.500 0.500 Os
0.500 0.000 0.500 Os
0.500 0.500 0.000 Au



AcLaIrF PBE-GGA relaxed; ΔE_f (raw) = -1.75 eV/atom; calculated total energy = -6.6967 eV per atom; total magnetic moment = 0.000 Bohr magnetons per cell; space-group type = No. 8
1.0
3.687 -2.130 0.000
3.687 2.130 0.000
-0.005 0.000 7.107
Ac La Ir F
1 1 1 1
direct
0.000 0.000 0.000 Ac
0.666 0.666 0.546 La
0.333 0.333 0.767 Ir
0.999 0.999 0.358 F



HgGePb2Au6 PBE-GGA relaxed; energy relative to the elements = 0.03 eV per atom; calculated total energy = -3.1743 eV per atom; total magnetic moment = 0.000 Bohr magnetons per cell; space-group type = No. 59
1.0
5.718 0.000 0.000
0.000 8.950 0.000
0.000 0.000 9.346
Hg Ge Pb Au
2 2 4 12
direct
0.250 0.250 0.213 Hg
0.750 0.750 0.787 Hg
0.250 0.750 0.262 Ge
0.750 0.250 0.738 Ge
0.250 0.517 0.786 Pb
0.250 0.983 0.786 Pb
0.750 0.017 0.214 Pb
0.750 0.483 0.214 Pb
0.002 0.250 0.960 Au
0.003 0.250 0.486 Au
0.250 0.505 0.401 Au
0.250 0.995 0.401 Au
0.497 0.250 0.486 Au
0.498 0.250 0.960 Au
0.502 0.750 0.040 Au
0.503 0.750 0.514 Au
0.750 0.005 0.599 Au
0.750 0.495 0.599 Au
0.997 0.750 0.514 Au
0.998 0.750 0.040 Au



KPuPaSe4 PBE-GGA relaxed; ΔE_f (raw) = -1.39 eV/atom; calculated total energy = -6.9402 eV per atom; total magnetic moment = 12.006 Bohr magnetons per cell; space-group type = No. 74
1.0
-4.360 4.466 6.209
4.360 -4.466 6.209
4.360 4.466 -6.209
K Pu Pa Se
2 2 2 8
direct
0.375 0.125 0.250 K
0.625 0.875 0.750 K
0.000 0.500 0.500 Pu
0.500 0.500 0.000 Pu
0.000 0.000 0.500 Pa
0.000 0.500 0.000 Pa
0.196 0.738 0.458 Se
0.220 0.262 0.958 Se
0.225 0.257 0.532 Se
0.225 0.694 0.968 Se
0.775 0.306 0.032 Se
0.775 0.743 0.468 Se
0.780 0.738 0.042 Se
0.804 0.262 0.542 Se



Th2CuPb PBE-GGA relaxed; energy relative to the elements = 0.19 eV per atom; calculated total energy = -5.4741 eV per atom; total magnetic moment = 0.000 Bohr magnetons per cell; space-group type = No. 166
1.0
1.770 1.022 10.927
-1.770 1.022 10.927
0.000 -2.044 10.927
Th Cu Pb
2 1 1
direct
0.101 0.101 0.101 Th
0.899 0.899 0.899 Th
0.500 0.500 0.500 Cu
0.000 0.000 0.000 Pb



Mg2ZrHAu PBE-GGA relaxed; calculated total energy = -3.9725 eV per atom; total magnetic moment = 0.000 Bohr magnetons per cell; space-group type = No. 123
1.0
4.388 0.000 0.000
0.000 4.388 0.000
0.000 0.000 4.163
Mg Zr H Au
2 1 1 1
direct
0.000 0.500 0.000 Mg
0.500 0.000 0.000 Mg
0.000 0.000 0.500 Zr
0.000 0.000 0.000 H
0.500 0.500 0.500 Au



YMoOs PBE-GGA relaxed; energy relative to the elements = 0.51 eV per atom; energy above the lowest structure with this stoichiometry = 685 meV per atom; calculated total energy = -8.9973 eV per atom; total magnetic moment = 0.000 Bohr magnetons per cell; space-group type = No. 156
1.0
3.021 0.000 0.000
-1.510 2.616 0.000
0.000 0.000 7.079
Y Mo Os
1 1 1
direct
0.000 0.000 0.000 Y
0.667 0.333 0.367 Mo
0.333 0.667 0.645 Os



What is the calculated total energy in the third record? -3.1743 eV per atom